# Y2Ni4C, optimized geometry, DFT PBE
data_Y2Ni4C
_cell_length_a 3.825
_cell_length_b 3.825
_cell_length_c 14.971
_cell_angle_alpha 90.00
_cell_angle_beta 90.00
_cell_angle_gamma 90.00
_symmetry_space_group_name_H-M 'I 4/m m m'
_symmetry_Int_Tables_number 139
_symmetry_space_group_name_Hall '-I 4 2'
loop_
_atom_site_label
_atom_site_type_symbol
_atom_site_fract_x
_atom_site_fract_y
_atom_site_fract_z
Y1 Y 0.000 0.000 0.166
Ni1 Ni 0.000 0.000 0.375
Ni2 Ni 0.000 0.500 0.000
C1 C 0.000 0.000 0.500
# ρ (kg/m3): 6439
# Calculated total energy (eV/atom): -6.719
# Formation energy (eV/atom): -0.251